(1)
Entry from Alexandria: AcCuH6 after structural relaxation (PBE-GGA).

Lattice parameters (Å, degrees): 4.6792 4.6792 4.6792 60.81 60.81 60.81
Last column: nearest neighbours and their distance in Å.
Positions (direct):
1 H 0.0910 0.0906 0.5871  1 Cu 1.63
2 H 0.4129 0.9090 0.9094  1 Cu 1.63
3 H 0.5871 0.0910 0.0906  1 Cu 1.63
4 H 0.9094 0.4129 0.9090  1 Cu 1.63
5 H 0.9090 0.9094 0.4129  1 Cu 1.63
6 H 0.0906 0.5871 0.0910  1 Cu 1.63
7 Ac 0.5000 0.5000 0.5000  12 H 2.58
8 Cu 0.0000 0.0000 0.0000  6 H 1.63

Computed properties:
V   9.22 Å³ per atom
Total DFT energy (no corrections)   -3.67 eV/atom
Total moment   0.0 μB per formula unit

***

(2)
Entry from Alexandria: AcCu3H6 after structural relaxation (PBE-GGA).

Lattice parameters (Å, degrees): 4.6169 4.6170 5.9215 90.00 112.95 120.00
Last column: nearest neighbours and their distance in Å.
Positions (direct):
1 H 0.0262 0.2841 0.3104  1 Cu 1.60
2 H 0.0263 0.7422 0.3103  1 Cu 1.60
3 H 0.5682 0.2842 0.3104  1 Cu 1.60
4 H 0.3735 0.4157 0.7896  1 Cu 1.60
5 H 0.8319 0.4162 0.7896  1 Cu 1.60
6 H 0.3739 0.9577 0.7896  1 Cu 1.60
7 Cu 0.2807 0.6404 0.9211  3 H 1.60
8 Cu 0.1192 0.0596 0.1789  3 H 1.60
9 Cu 0.7000 0.3500 0.0501  6 H 1.84
10 Ac 0.7000 0.8500 0.5500  12 H 2.63-2.64

Computed properties:
V   9.76 Å³ per atom
Total DFT energy (no corrections)   -3.74 eV/atom
Total moment   0.0 μB per formula unit

***

(3)
Entry from Alexandria: AcCuH4 after structural relaxation (PBE-GGA).

Lattice parameters (Å, degrees): 4.1603 4.6466 4.6466 64.07 63.84 63.84
Last column: nearest neighbours and their distance in Å.
Positions (direct):
1 Cu 0.5021 0.0028 0.9987  4 H 1.65
2 H 0.6656 0.5898 0.0825  1 Cu 1.65
3 H 0.3380 0.9189 0.4116  1 Cu 1.65
4 H 0.3380 0.4156 0.9148  1 Cu 1.65
5 H 0.6656 0.0865 0.5858  1 Cu 1.65
6 Ac 0.0018 0.5027 0.4987  12 H 2.57-2.67

Computed properties:
V   11.50 Å³ per atom
Total DFT energy (no corrections)   -3.87 eV/atom
Total moment   0.0 μB per formula unit

***

(4)
Entry from Alexandria: Ac2CuH after structural relaxation (PBE-GGA).

Lattice parameters (Å, degrees): 3.6342 3.6342 7.5182 90.00 90.00 90.00
Last column: nearest neighbours and their distance in Å.
Positions (direct):
1 Ac 0.0000 0.0000 0.2551  4 H 3.16, 4 Cu 3.21
2 Ac 0.0000 0.0000 0.7449  4 H 3.16, 4 Cu 3.21
3 Cu 0.5000 0.5000 0.0000  8 Ac 3.21
4 H 0.5000 0.5000 0.5000  8 Ac 3.16

Computed properties:
E above lowest polymorph   0.000 eV/atom
V   24.82 Å³ per atom
Total moment   0.0 μB per formula unit

***

no.,DOS(E_F) (states/eV/cell)
1,1.1
2,0.9
3,0.9
4,4.4